(1)
Computed, not measured: a crystal of ScFe3Cu relaxed with PBEsol at the SCAN level of DFT.

Structure (extended XYZ):
```
5
Lattice="4.323 0.000 0.000 0.000 4.323 0.000 0.000 0.000 4.323" Properties=species:S:1:pos:R:3 pbc="T T T"
Sc 0.000 0.000 0.000
Fe 0.000 2.161 2.161
Fe 2.161 0.000 2.161
Fe 2.161 2.161 0.000
Cu 2.161 2.161 2.161
```

Summary:
Formation enthalpy at 0 K (eV/atom): 0.64
Calculated volume (Å³ per atom): 16.2
DOS at the Fermi energy (states/eV per cell): 3.81
E_tot (eV/atom): -16.120
Magnetic moment (Bohr magnetons per cell): 8.0

(2)
Computed, not measured: a crystal of CsSr3 relaxed with PBEsol at the SCAN level of DFT.

Structure (extended XYZ):
```
4
Lattice="0.000 4.904 4.904 4.904 0.000 4.904 4.904 4.904 0.000" Properties=species:S:1:pos:R:3 pbc="T T T"
Cs 0.000 0.000 0.000
Sr 2.452 2.452 2.452
Sr 4.904 4.904 4.904
Sr 7.356 7.356 7.356
```

Summary:
Formation enthalpy at 0 K (eV/atom): 0.18
Calculated volume (Å³ per atom): 59.0
DOS at the Fermi energy (states/eV per cell): 4.96
E_tot (eV/atom): -25.975
Magnetic moment (Bohr magnetons per cell): 0.4

(3)
Computed, not measured: a crystal of LiLaSi2 relaxed with PBEsol at the SCAN level of DFT.

Structure (extended XYZ):
```
4
Lattice="3.007 0.000 0.000 0.000 3.923 0.000 0.000 0.000 6.391" Properties=species:S:1:pos:R:3 pbc="T T T"
Li 0.000 0.000 0.000
La 0.000 0.000 3.196
Si 1.504 1.961 1.194
Si 1.504 1.961 5.197
```

Summary:
Energy relative to the elements, uncorrected (eV/atom): -0.318
Calculated volume (Å³ per atom): 18.8
DOS at the Fermi energy (states/eV per cell): 1.53
E_tot (eV/atom): -16.699
Magnetic moment (Bohr magnetons per cell): 0.0

(4)
Computed, not measured: a crystal of CeNiSn2 relaxed with PBEsol at the SCAN level of DFT.

Structure (extended XYZ):
```
8
Lattice="2.190 -8.929 0.000 2.190 8.929 0.000 0.000 0.000 4.490" Properties=species:S:1:pos:R:3 pbc="T T T"
Ce 2.190 6.972 3.368
Ce 2.190 -6.972 1.123
Ni 2.190 3.245 3.368
Ni 2.190 -3.245 1.123
Sn 2.190 4.447 1.123
Sn 2.190 0.823 3.368
Sn 2.190 -0.823 1.123
Sn 2.190 -4.447 3.368
```

Summary:
Formation enthalpy at 0 K (eV/atom): -0.62
Calculated volume (Å³ per atom): 21.9
DOS at the Fermi energy (states/eV per cell): 6.29
E_tot (eV/atom): -33.768
Magnetic moment (Bohr magnetons per cell): 1.9